# 1
# TeW2Au | Alexandria | PBE | relaxed
data_TeW2Au
_cell_length_a 9.540
_cell_length_b 3.255
_cell_length_c 5.035
_cell_angle_alpha 90.00
_cell_angle_beta 102.61
_cell_angle_gamma 90.00
_symmetry_space_group_name_H-M 'C 1 m 1'
_symmetry_Int_Tables_number 8
loop_
_symmetry_equiv_pos_as_xyz
'x,y,z'
'x,-y,z'
'x+1/2,y+1/2,z'
'x+1/2,-y+1/2,z'
loop_
_atom_site_label
_atom_site_type_symbol
_atom_site_fract_x
_atom_site_fract_y
_atom_site_fract_z
_atom_site_occupancy
Te1 Te 0.000 0.000 0.000 1
W1 W 0.029 0.500 0.532 1
W2 W 0.232 0.000 0.732 1
Au1 Au 0.277 0.500 0.296 1
# Calculated volume ... 76.3 Å³/f.u.
# Uncorrected formation energy ... 0.68 eV per atom

# 2
# Te2WAu | Alexandria | PBE | relaxed
data_Te2WAu
_cell_length_a 13.959
_cell_length_b 3.205
_cell_length_c 4.807
_cell_angle_alpha 90.00
_cell_angle_beta 110.04
_cell_angle_gamma 90.00
_symmetry_space_group_name_H-M 'C 1 2/m 1'
_symmetry_Int_Tables_number 12
loop_
_symmetry_equiv_pos_as_xyz
'x,y,z'
'-x,-y,-z'
'-x,y,-z'
'x,-y,z'
'x+1/2,y+1/2,z'
'-x+1/2,-y+1/2,-z'
'-x+1/2,y+1/2,-z'
'x+1/2,-y+1/2,z'
loop_
_atom_site_label
_atom_site_type_symbol
_atom_site_fract_x
_atom_site_fract_y
_atom_site_fract_z
_atom_site_occupancy
Te1 Te 0.167 0.000 0.167 1
W1 W 0.000 0.500 0.000 1
Au1 Au 0.000 0.000 0.500 1
# Calculated volume ... 101.0 Å³/f.u.
# Uncorrected formation energy ... 0.35 eV per atom
# Energy relative to the lowest polymorph listed for this composition ... 26 kJ/mol of formula units

# 3
# Te2WAu | Alexandria | PBE | relaxed
data_Te2WAu
_cell_length_a 6.869
_cell_length_b 9.088
_cell_length_c 2.943
_cell_angle_alpha 90.00
_cell_angle_beta 90.13
_cell_angle_gamma 90.00
_symmetry_space_group_name_H-M 'C 1 2/m 1'
_symmetry_Int_Tables_number 12
loop_
_symmetry_equiv_pos_as_xyz
'x,y,z'
'-x,-y,-z'
'-x,y,-z'
'x,-y,z'
'x+1/2,y+1/2,z'
'-x+1/2,-y+1/2,-z'
'-x+1/2,y+1/2,-z'
'x+1/2,-y+1/2,z'
loop_
_atom_site_label
_atom_site_type_symbol
_atom_site_fract_x
_atom_site_fract_y
_atom_site_fract_z
_atom_site_occupancy
Te1 Te 0.250 0.250 0.000 1
W1 W 0.000 0.000 0.000 1
Au1 Au 0.000 0.500 0.000 1
# Calculated volume ... 91.9 Å³/f.u.
# Uncorrected formation energy ... 0.77 eV per atom
# Energy relative to the lowest polymorph listed for this composition ... 189 kJ/mol of formula units

# 4
# Te2WAu | Alexandria | PBE | relaxed
data_Te2WAu
_cell_length_a 3.5239
_cell_length_b 3.5239
_cell_length_c 25.2162
_cell_angle_alpha 90.00
_cell_angle_beta 90.00
_cell_angle_gamma 120.00
_symmetry_space_group_name_H-M 'R -3 m'
_symmetry_Int_Tables_number 166
_symmetry_space_group_name_Hall '-R 3 2"'
loop_
_atom_site_label
_atom_site_type_symbol
_atom_site_fract_x
_atom_site_fract_y
_atom_site_fract_z
_atom_site_occupancy
Te1 Te 0.0000 0.0000 0.2411 1
W1 W 0.0000 0.0000 0.5000 1
Au1 Au 0.0000 0.0000 0.0000 1
# Calculated volume ... 90.4 Å³/f.u.
# Uncorrected formation energy ... 0.30 eV per atom
# Energy relative to the lowest polymorph listed for this composition ... 7 kJ/mol of formula units

# 5
# TeW3Au | Alexandria | PBE | relaxed
data_TeW3Au
_cell_length_a 4.857
_cell_length_b 4.857
_cell_length_c 4.857
_cell_angle_alpha 90.00
_cell_angle_beta 90.00
_cell_angle_gamma 90.00
_symmetry_space_group_name_H-M 'P m -3 m'
_symmetry_Int_Tables_number 221
_symmetry_space_group_name_Hall '-P 4 2 3'
loop_
_atom_site_label
_atom_site_type_symbol
_atom_site_fract_x
_atom_site_fract_y
_atom_site_fract_z
_atom_site_occupancy
Te1 Te 0.000 0.000 0.000 1
W1 W 0.000 0.000 0.500 1
Au1 Au 0.500 0.500 0.500 1
# Calculated volume ... 114.6 Å³/f.u.
# Uncorrected formation energy ... 2.54 eV per atom
# Energy relative to the lowest polymorph listed for this composition ... 0 kJ/mol of formula units

# 6
# Te2WAu | Alexandria | PBE | relaxed
data_Te2WAu
_cell_length_a 4.640
_cell_length_b 4.640
_cell_length_c 7.730
_cell_angle_alpha 90.00
_cell_angle_beta 90.00
_cell_angle_gamma 90.00
_symmetry_space_group_name_H-M 'I 4/m m m'
_symmetry_Int_Tables_number 139
_symmetry_space_group_name_Hall '-I 4 2'
loop_
_atom_site_label
_atom_site_type_symbol
_atom_site_fract_x
_atom_site_fract_y
_atom_site_fract_z
_atom_site_occupancy
Te1 Te 0.000 0.500 0.250 1
W1 W 0.000 0.000 0.000 1
Au1 Au 0.000 0.000 0.500 1
# Calculated volume ... 83.2 Å³/f.u.
# Uncorrected formation energy ... 0.70 eV per atom
# Energy relative to the lowest polymorph listed for this composition ... 160 kJ/mol of formula units

# 7
# TeW2Au | Alexandria | PBE | relaxed
data_TeW2Au
_cell_length_a 6.670
_cell_length_b 6.670
_cell_length_c 6.670
_cell_angle_alpha 90.00
_cell_angle_beta 90.00
_cell_angle_gamma 90.00
_symmetry_space_group_name_H-M 'F -4 3 m'
_symmetry_Int_Tables_number 216
_symmetry_space_group_name_Hall 'F -4 2 3'
loop_
_atom_site_label
_atom_site_type_symbol
_atom_site_fract_x
_atom_site_fract_y
_atom_site_fract_z
_atom_site_occupancy
Te1 Te 0.000 0.000 0.000 1
W1 W 0.000 0.000 0.500 1
W2 W 0.250 0.250 0.250 1
Au1 Au 0.250 0.250 0.750 1
# Calculated volume ... 74.2 Å³/f.u.
# Uncorrected formation energy ... 0.95 eV per atom

# 8
# TeW2Au | Alexandria | PBE | relaxed
data_TeW2Au
_cell_length_a 9.349
_cell_length_b 3.337
_cell_length_c 4.851
_cell_angle_alpha 90.00
_cell_angle_beta 97.75
_cell_angle_gamma 90.00
_symmetry_space_group_name_H-M 'C 1 2/m 1'
_symmetry_Int_Tables_number 12
loop_
_symmetry_equiv_pos_as_xyz
'x,y,z'
'-x,-y,-z'
'-x,y,-z'
'x,-y,z'
'x+1/2,y+1/2,z'
'-x+1/2,-y+1/2,-z'
'-x+1/2,y+1/2,-z'
'x+1/2,-y+1/2,z'
loop_
_atom_site_label
_atom_site_type_symbol
_atom_site_fract_x
_atom_site_fract_y
_atom_site_fract_z
_atom_site_occupancy
Te1 Te 0.000 0.000 0.000 1
W1 W 0.237 0.000 0.710 1
Au1 Au 0.000 0.500 0.500 1
# Calculated volume ... 75.0 Å³/f.u.
# Uncorrected formation energy ... 0.73 eV per atom

# 9
# Te3WAu | Alexandria | PBE | relaxed
data_Te3WAu
_cell_length_a 5.346
_cell_length_b 5.346
_cell_length_c 5.346
_cell_angle_alpha 90.00
_cell_angle_beta 90.00
_cell_angle_gamma 90.00
_symmetry_space_group_name_H-M 'P m -3 m'
_symmetry_Int_Tables_number 221
_symmetry_space_group_name_Hall '-P 4 2 3'
loop_
_atom_site_label
_atom_site_type_symbol
_atom_site_fract_x
_atom_site_fract_y
_atom_site_fract_z
_atom_site_occupancy
Te1 Te 0.000 0.000 0.500 1
W1 W 0.500 0.500 0.500 1
Au1 Au 0.000 0.000 0.000 1
# Calculated volume ... 152.8 Å³/f.u.
# Uncorrected formation energy ... 1.47 eV per atom
# Energy relative to the lowest polymorph listed for this composition ... 537 kJ/mol of formula units

# 10
# Te2WAu | Alexandria | PBE | relaxed
data_Te2WAu
_cell_length_a 3.537
_cell_length_b 3.537
_cell_length_c 7.753
_cell_angle_alpha 90.00
_cell_angle_beta 90.00
_cell_angle_gamma 90.00
_symmetry_space_group_name_H-M 'P 4 m m'
_symmetry_Int_Tables_number 99
loop_
_symmetry_equiv_pos_as_xyz
'x,y,z'
'-y,x,z'
'-x,-y,z'
'y,-x,z'
'-x,y,z'
'y,x,z'
'x,-y,z'
'-y,-x,z'
loop_
_atom_site_label
_atom_site_type_symbol
_atom_site_fract_x
_atom_site_fract_y
_atom_site_fract_z
_atom_site_occupancy
Te1 Te 0.000 0.000 0.000 1
Te2 Te 0.500 0.500 0.440 1
W1 W 0.000 0.000 0.638 1
Au1 Au 0.500 0.500 0.835 1
# Calculated volume ... 97.0 Å³/f.u.
# Uncorrected formation energy ... 0.46 eV per atom
# Energy relative to the lowest polymorph listed for this composition ... 66 kJ/mol of formula units

# 11
# Te2WAu | Alexandria | PBE | relaxed
data_Te2WAu
_cell_length_a 3.384
_cell_length_b 4.751
_cell_length_c 5.272
_cell_angle_alpha 90.00
_cell_angle_beta 90.00
_cell_angle_gamma 90.00
_symmetry_space_group_name_H-M 'P m m m'
_symmetry_Int_Tables_number 47
loop_
_symmetry_equiv_pos_as_xyz
'x,y,z'
'-x,-y,-z'
'-x,-y,z'
'x,y,-z'
'x,-y,-z'
'-x,y,z'
'-x,y,-z'
'x,-y,z'
loop_
_atom_site_label
_atom_site_type_symbol
_atom_site_fract_x
_atom_site_fract_y
_atom_site_fract_z
_atom_site_occupancy
Te1 Te 0.000 0.000 0.000 1
Te2 Te 0.500 0.000 0.500 1
W1 W 0.000 0.500 0.500 1
Au1 Au 0.500 0.500 0.000 1
# Calculated volume ... 84.8 Å³/f.u.
# Uncorrected formation energy ... 0.96 eV per atom
# Energy relative to the lowest polymorph listed for this composition ... 261 kJ/mol of formula units

# 12
# Te2WAu | Alexandria | PBE | relaxed
data_Te2WAu
_cell_length_a 3.5832
_cell_length_b 3.5832
_cell_length_c 26.9164
_cell_angle_alpha 90.00
_cell_angle_beta 90.00
_cell_angle_gamma 120.00
_symmetry_space_group_name_H-M 'R -3 m'
_symmetry_Int_Tables_number 166
_symmetry_space_group_name_Hall '-R 3 2"'
loop_
_atom_site_label
_atom_site_type_symbol
_atom_site_fract_x
_atom_site_fract_y
_atom_site_fract_z
_atom_site_occupancy
Te1 Te 0.0000 0.0000 0.0998 1
W1 W 0.0000 0.0000 0.5000 1
Au1 Au 0.0000 0.0000 0.0000 1
# Calculated volume ... 99.8 Å³/f.u.
# Uncorrected formation energy ... 0.29 eV per atom
# Energy relative to the lowest polymorph listed for this composition ... 3 kJ/mol of formula units

# 13
# TeW3Au | Alexandria | PBE | relaxed
data_TeW3Au
_cell_length_a 4.901
_cell_length_b 4.901
_cell_length_c 4.901
_cell_angle_alpha 90.00
_cell_angle_beta 90.00
_cell_angle_gamma 90.00
_symmetry_space_group_name_H-M 'P m -3 m'
_symmetry_Int_Tables_number 221
_symmetry_space_group_name_Hall '-P 4 2 3'
loop_
_atom_site_label
_atom_site_type_symbol
_atom_site_fract_x
_atom_site_fract_y
_atom_site_fract_z
_atom_site_occupancy
Te1 Te 0.000 0.000 0.000 1
W1 W 0.000 0.500 0.500 1
Au1 Au 0.500 0.500 0.500 1
# Calculated volume ... 117.7 Å³/f.u.
# Uncorrected formation energy ... 2.58 eV per atom
# Energy relative to the lowest polymorph listed for this composition ... 18 kJ/mol of formula units

# 14
# Te2WAu | Alexandria | PBE | relaxed
data_Te2WAu
_cell_length_a 7.004
_cell_length_b 7.004
_cell_length_c 7.004
_cell_angle_alpha 90.00
_cell_angle_beta 90.00
_cell_angle_gamma 90.00
_symmetry_space_group_name_H-M 'F -4 3 m'
_symmetry_Int_Tables_number 216
_symmetry_space_group_name_Hall 'F -4 2 3'
loop_
_atom_site_label
_atom_site_type_symbol
_atom_site_fract_x
_atom_site_fract_y
_atom_site_fract_z
_atom_site_occupancy
Te1 Te 0.000 0.000 0.000 1
Te2 Te 0.250 0.250 0.250 1
W1 W 0.250 0.250 0.750 1
Au1 Au 0.000 0.000 0.500 1
# Calculated volume ... 85.9 Å³/f.u.
# Uncorrected formation energy ... 1.03 eV per atom
# Energy relative to the lowest polymorph listed for this composition ... 287 kJ/mol of formula units

# 15
# TeW2Au | Alexandria | PBE | relaxed
data_TeW2Au
_cell_length_a 3.261
_cell_length_b 3.261
_cell_length_c 7.306
_cell_angle_alpha 90.00
_cell_angle_beta 90.00
_cell_angle_gamma 90.00
_symmetry_space_group_name_H-M 'P 4 m m'
_symmetry_Int_Tables_number 99
loop_
_symmetry_equiv_pos_as_xyz
'x,y,z'
'-y,x,z'
'-x,-y,z'
'y,-x,z'
'-x,y,z'
'y,x,z'
'x,-y,z'
'-y,-x,z'
loop_
_atom_site_label
_atom_site_type_symbol
_atom_site_fract_x
_atom_site_fract_y
_atom_site_fract_z
_atom_site_occupancy
Te1 Te 0.000 0.000 0.000 1
W1 W 0.000 0.000 0.436 1
W2 W 0.500 0.500 0.248 1
Au1 Au 0.500 0.500 0.678 1
# Calculated volume ... 77.7 Å³/f.u.
# Uncorrected formation energy ... 0.49 eV per atom

# 16
# Te2WAu | Alexandria | PBE | relaxed
data_Te2WAu
_cell_length_a 3.0167
_cell_length_b 3.0167
_cell_length_c 36.2507
_cell_angle_alpha 90.00
_cell_angle_beta 90.00
_cell_angle_gamma 120.00
_symmetry_space_group_name_H-M 'R -3 m'
_symmetry_Int_Tables_number 166
_symmetry_space_group_name_Hall '-R 3 2"'
loop_
_atom_site_label
_atom_site_type_symbol
_atom_site_fract_x
_atom_site_fract_y
_atom_site_fract_z
_atom_site_occupancy
Te1 Te 0.0000 0.0000 0.0768 1
W1 W 0.0000 0.0000 0.0000 1
Au1 Au 0.0000 0.0000 0.5000 1
# Calculated volume ... 95.2 Å³/f.u.
# Uncorrected formation energy ... 0.78 eV per atom
# Energy relative to the lowest polymorph listed for this composition ... 192 kJ/mol of formula units

# 17
# TeW2Au | Alexandria | PBE | relaxed
data_TeW2Au
_cell_length_a 3.0728
_cell_length_b 3.0728
_cell_length_c 26.4564
_cell_angle_alpha 90.00
_cell_angle_beta 90.00
_cell_angle_gamma 120.00
_symmetry_space_group_name_H-M 'R -3 m'
_symmetry_Int_Tables_number 166
_symmetry_space_group_name_Hall '-R 3 2"'
loop_
_atom_site_label
_atom_site_type_symbol
_atom_site_fract_x
_atom_site_fract_y
_atom_site_fract_z
_atom_site_occupancy
Te1 Te 0.0000 0.0000 0.0000 1
W1 W 0.0000 0.0000 0.2514 1
Au1 Au 0.0000 0.0000 0.5000 1
# Calculated volume ... 72.1 Å³/f.u.
# Uncorrected formation energy ... 0.74 eV per atom

# 18
# TeW2Au | Alexandria | PBE | relaxed
data_TeW2Au
_cell_length_a 4.061
_cell_length_b 4.061
_cell_length_c 4.424
_cell_angle_alpha 90.00
_cell_angle_beta 90.00
_cell_angle_gamma 90.00
_symmetry_space_group_name_H-M 'P 4/m m m'
_symmetry_Int_Tables_number 123
_symmetry_space_group_name_Hall '-P 4 2'
loop_
_atom_site_label
_atom_site_type_symbol
_atom_site_fract_x
_atom_site_fract_y
_atom_site_fract_z
_atom_site_occupancy
Te1 Te 0.000 0.000 0.000 1
W1 W 0.000 0.500 0.500 1
Au1 Au 0.500 0.500 0.000 1
# Calculated volume ... 73.0 Å³/f.u.
# Uncorrected formation energy ... 0.99 eV per atom

# 19
# TeWAu | Alexandria | PBE | relaxed
data_TeWAu
_cell_length_a 3.154
_cell_length_b 3.154
_cell_length_c 13.347
_cell_angle_alpha 90.00
_cell_angle_beta 90.00
_cell_angle_gamma 90.00
_symmetry_space_group_name_H-M 'I 4 m m'
_symmetry_Int_Tables_number 107
_symmetry_space_group_name_Hall 'I 4 -2'
loop_
_atom_site_label
_atom_site_type_symbol
_atom_site_fract_x
_atom_site_fract_y
_atom_site_fract_z
_atom_site_occupancy
Te1 Te 0.000 0.000 0.000 1
W1 W 0.000 0.000 0.373 1
Au1 Au 0.000 0.000 0.740 1
# Calculated volume ... 66.4 Å³/f.u.
# Uncorrected formation energy ... 0.53 eV per atom
# Energy relative to the lowest polymorph listed for this composition ... 4 kJ/mol of formula units

# 20
# Te2WAu | Alexandria | PBE | relaxed
data_Te2WAu
_cell_length_a 4.070
_cell_length_b 4.075
_cell_length_c 6.274
_cell_angle_alpha 90.00
_cell_angle_beta 90.06
_cell_angle_gamma 90.00
_symmetry_space_group_name_H-M 'P 1 m 1'
_symmetry_Int_Tables_number 6
loop_
_symmetry_equiv_pos_as_xyz
'x,y,z'
'x,-y,z'
loop_
_atom_site_label
_atom_site_type_symbol
_atom_site_fract_x
_atom_site_fract_y
_atom_site_fract_z
_atom_site_occupancy
Te1 Te 0.000 0.000 0.000 1
Te2 Te 0.500 0.500 0.400 1
W1 W 0.500 0.000 0.700 1
Au1 Au 0.000 0.500 0.700 1
# Calculated volume ... 104.1 Å³/f.u.
# Uncorrected formation energy ... 0.36 eV per atom
# Energy relative to the lowest polymorph listed for this composition ... 30 kJ/mol of formula units